Density functional theory data (GGA+U) for a geometry-optimized Zr2AlCrO structure.

**E_tot**: -5.68 eV per atom
**Total magnetization**: 1.3 Bohr magnetons per cell
**ρ**: 4.3 g cm⁻³

Unit cell a=4.8236 b=4.5658 c=4.8236 alpha=90.00 beta=90.00 gamma=90.00
With the nearest neighbours (Å) after each atom.
Fractional positions:
O  0.5000  0.5000  0.5000  8 Zr 3.32, 4 Al 3.41
Cr  0.0000  0.0000  0.0000  2 Al 2.28, 4 Zr 2.41
Al  0.0000  0.5000  0.0000  2 Cr 2.28
Zr  0.0000  0.0000  0.5000  2 Cr 2.41
Zr  0.5000  0.0000  0.0000  2 Cr 2.41